[1]
4
Lattice="-1.7379 2.4725 5.4528 1.7379 -2.4725 5.4528 1.7379 2.4725 -5.4528" Properties=species:S:1:pos:R:3 comment="LaSc2Zn, relaxed, DFT GGA-PBEsol" n_ef_per_ev_cell=3.67 e_form_mev_per_atom=-70 pbc="T T T"
La 0.0000 0.0000 0.0000
Sc 1.7379 0.0000 3.1240
Sc 0.0000 0.0000 6.2172
Zn 0.0000 2.4725 2.8551

---

[2]
4
Lattice="1.7717 1.0229 10.2056 -1.7717 1.0229 10.2056 0.0000 -2.0458 10.2056" Properties=species:S:1:pos:R:3 comment="La2ScZn, relaxed, DFT GGA-PBEsol" n_ef_per_ev_cell=4.55 e_form_mev_per_atom=57 pbc="T T T"
La 0.0000 0.0000 7.4799
La 0.0000 0.0000 23.1370
Sc 0.0000 0.0000 0.0000
Zn 0.0000 0.0000 15.3085

---

[3]
4
Lattice="4.9508 0.0000 0.0000 0.0000 1.7507 6.2031 0.0000 -1.7507 6.2031" Properties=species:S:1:pos:R:3 comment="La2ScZn, relaxed, DFT GGA-PBEsol" n_ef_per_ev_cell=5.19 e_form_mev_per_atom=-59 pbc="T T T"
La 0.0000 0.0000 0.0000
La 2.4754 0.0000 3.9458
Sc 0.0000 0.0000 8.9351
Zn 2.4754 0.0000 7.4207

---

[4]
4
Lattice="4.5052 0.0000 0.0000 0.0000 4.5052 0.0000 0.0000 0.0000 4.5897" Properties=species:S:1:pos:R:3 comment="LaSc2Zn, relaxed, DFT GGA-PBEsol" n_ef_per_ev_cell=5.77 e_form_mev_per_atom=-10 pbc="T T T"
La 0.0000 0.0000 0.0000
Sc 0.0000 2.2526 2.2948
Sc 2.2526 0.0000 2.2948
Zn 2.2526 2.2526 0.0000

---

[5]
3
Lattice="5.2698 0.0000 0.0000 -2.6349 4.5637 0.0000 0.0000 0.0000 3.2543" Properties=species:S:1:pos:R:3 comment="LaZrSc, relaxed, DFT GGA-PBEsol" n_ef_per_ev_cell=4.08 e_form_mev_per_atom=155 pbc="T T T"
La 0.0000 0.0000 0.0000
Zr 0.0000 3.0425 1.6272
Sc 2.6349 1.5212 1.6272

---

[6]
3
Lattice="0.0000 3.4814 3.4814 3.4814 0.0000 3.4814 3.4814 3.4814 0.0000" Properties=species:S:1:pos:R:3 comment="LaZrSc, relaxed, DFT GGA-PBEsol" n_ef_per_ev_cell=3.66 e_form_mev_per_atom=1000 pbc="T T T"
La 0.0000 0.0000 0.0000
Zr 1.7407 1.7407 1.7407
Sc 5.2221 5.2221 5.2221

---

[7]
3
Lattice="-1.9254 1.9254 5.1567 1.9254 -1.9254 5.1567 1.9254 1.9254 -5.1567" Properties=species:S:1:pos:R:3 comment="LaZrSc, relaxed, DFT GGA-PBEsol" n_ef_per_ev_cell=4.29 e_form_mev_per_atom=165 pbc="T T T"
La 0.0000 0.0000 0.0000
Zr 0.0000 0.0000 3.3174
Sc 0.0000 0.0000 6.9989

---

[8]
6
Lattice="0.0000 4.1925 4.1925 4.1925 0.0000 4.1925 4.1925 4.1925 0.0000" Properties=species:S:1:pos:R:3 comment="LaZr4Sc, relaxed, DFT GGA-PBEsol" n_ef_per_ev_cell=15.20 e_form_mev_per_atom=283 pbc="T T T"
La 0.0000 0.0000 0.0000
Zr 3.1502 3.1502 3.1502
Zr 5.2347 5.2347 3.1502
Zr 5.2347 3.1502 5.2347
Zr 3.1502 5.2347 5.2347
Sc 6.2887 6.2887 6.2887

---

[9]
4
Lattice="3.3211 -5.6051 0.0000 3.3211 5.6051 0.0000 -1.5132 0.0000 2.8933" Properties=species:S:1:pos:R:3 comment="La2ZrSc, relaxed, DFT GGA-PBEsol" n_ef_per_ev_cell=6.52 e_form_mev_per_atom=219 pbc="T T T"
La 1.6606 2.8026 0.0000
La 1.6606 -2.8026 0.0000
Zr -0.7566 0.0000 1.4467
Sc 2.5646 0.0000 1.4467

---

[10]
6
Lattice="4.1687 0.0000 0.0000 0.0000 4.1687 0.0000 0.0000 0.0000 8.5368" Properties=species:S:1:pos:R:3 comment="LaSe2, relaxed, DFT GGA-PBEsol" raw_formation_energy_ev_per_atom=-1.7722 n_ef_per_ev_cell=0.95 pbc="T T T"
La 1.0422 1.0422 1.9191
La 3.1265 3.1265 6.6177
Se 1.0422 1.0422 7.3791
Se 1.0422 3.1265 4.2684
Se 3.1265 1.0422 4.2684
Se 3.1265 3.1265 1.1577

---

[11]
5
Lattice="5.0614 0.0000 0.0000 -2.5307 4.3833 0.0000 0.0000 0.0000 6.2408" Properties=species:S:1:pos:R:3 comment="La3Se2, relaxed, DFT GGA-PBEsol" raw_formation_energy_ev_per_atom=-1.3474 n_ef_per_ev_cell=6.58 pbc="T T T"
La 0.0000 0.0000 0.0000
La 0.0000 2.9222 2.0474
La 2.5307 1.4611 4.1934
Se 0.0000 2.9222 5.0992
Se 2.5307 1.4611 1.1416

---

[12]
12
Lattice="8.5032 0.0000 0.0000 0.0000 4.2004 0.0000 -0.0134 0.0000 8.4084" Properties=species:S:1:pos:R:3 comment="LaSe2, relaxed, DFT GGA-PBEsol" raw_formation_energy_ev_per_atom=-1.7899 n_ef_per_ev_cell=0.69 pbc="T T T"
La 1.8982 0.9504 3.1376
La 1.8915 1.1498 7.3418
La 6.5983 3.0506 1.0666
La 6.5916 3.2500 5.2708
Se 1.1511 3.1233 1.0511
Se 1.1443 3.1774 5.2553
Se 4.2345 2.8805 3.2079
Se 4.2278 3.4202 7.4121
Se 4.2619 0.7803 0.9963
Se 4.2552 1.3199 5.2005
Se 7.3454 1.0231 3.1531
Se 7.3387 1.0772 7.3573

---

[13]
6
Lattice="7.4132 -2.1424 0.0000 7.4132 2.1424 0.0000 -2.2579 0.0000 5.3350" Properties=species:S:1:pos:R:3 comment="LaSe2, relaxed, DFT GGA-PBEsol" raw_formation_energy_ev_per_atom=-1.6894 pbc="T T T"
La 1.8897 0.0000 0.8041
La 10.6789 0.0000 4.5309
Se 1.4419 0.0000 3.7594
Se 6.9423 0.0000 1.0989
Se 5.6263 0.0000 4.2361
Se 11.1267 0.0000 1.5756

---

[14]
14
Lattice="-4.4714 4.4714 4.4714 4.4714 -4.4714 4.4714 4.4714 4.4714 -4.4714" Properties=species:S:1:pos:R:3 comment="La3Se4, relaxed, DFT GGA-PBEsol" raw_formation_energy_ev_per_atom=-2.0497 n_ef_per_ev_cell=10.30 pbc="T T T"
La 4.4714 -2.2357 3.3535
La 3.3535 4.4714 -2.2357
La 4.4714 2.2357 1.1178
La 2.2357 1.1178 4.4714
La 1.1178 4.4714 2.2357
La -2.2357 3.3535 4.4714
Se 2.9229 1.5485 -1.5485
Se 5.1586 -0.6872 0.6872
Se 1.5485 -1.5485 2.9229
Se 1.5485 1.5485 1.5485
Se -1.5485 2.9229 1.5485
Se 0.6872 5.1586 -0.6872
Se -0.6872 0.6872 5.1586
Se 3.7842 3.7842 3.7842

---

[15]
2
Lattice="0.0000 3.0078 3.0078 3.0078 0.0000 3.0078 3.0078 3.0078 0.0000" Properties=species:S:1:pos:R:3 comment="LaSe, relaxed, DFT GGA-PBEsol" raw_formation_energy_ev_per_atom=-2.0290 n_ef_per_ev_cell=1.09 pbc="T T T"
La 0.0000 0.0000 0.0000
Se 3.0078 3.0078 3.0078

---

[16]
6
Lattice="5.5552 -1.9280 0.0000 5.5552 1.9280 0.0000 -2.6064 0.0000 7.4151" Properties=species:S:1:pos:R:3 comment="LaSe, relaxed, DFT GGA-PBEsol" raw_formation_energy_ev_per_atom=-1.8001 n_ef_per_ev_cell=4.51 pbc="T T T"
La 0.0000 0.0000 0.0000
La -0.1044 0.0000 4.7105
La 8.1200 0.0000 2.5933
Se 2.8418 0.0000 4.9704
Se 5.0608 0.0000 2.2937
Se 5.4456 0.0000 7.0943

---

[17]
58
Lattice="9.3504 0.0000 0.0000 0.0000 9.3504 0.0000 0.0000 0.0000 16.9309" Properties=species:S:1:pos:R:3 comment="La10Se19, relaxed, DFT GGA-PBEsol" raw_formation_energy_ev_per_atom=-1.8390 n_ef_per_ev_cell=1.56 pbc="T T T"
La 0.4118 1.4322 2.0237
La 0.5016 1.3927 10.2332
La 1.3927 4.1736 15.1631
La 1.4322 4.2634 6.4417
La 2.3376 7.0128 1.9558
La 2.3376 7.0128 10.4213
La 3.2430 0.4118 6.4417
La 3.2825 0.5016 15.1631
La 4.1736 3.2825 10.2332
La 4.2634 3.2430 2.0237
La 5.0870 6.1074 14.9071
La 5.1768 6.0679 6.6976
La 6.0679 8.8488 1.7678
La 6.1074 8.9386 10.4892
La 7.0128 2.3376 6.5096
La 7.0128 2.3376 14.9751
La 7.9182 5.0870 10.4892
La 7.9577 5.1768 1.7678
La 8.8488 7.9577 6.6976
La 8.9386 7.9182 14.9071
Se 0.2735 6.2844 4.2254
Se 0.4558 1.4251 7.2216
Se 0.4848 1.3919 15.8437
Se 0.6354 5.7582 12.7137
Se 1.0830 8.7150 4.2482
Se 1.3919 4.1904 9.5527
Se 1.4251 4.2194 1.2438
Se 1.6092 9.0769 12.6908
Se 2.3376 2.3376 4.2327
Se 2.3376 7.0128 7.3433
Se 2.3376 7.0128 15.8087
Se 3.0661 4.9488 12.6908
Se 3.2501 0.4558 1.2438
Se 3.2833 0.4848 9.5527
Se 3.5922 5.3106 4.2482
Se 4.0398 8.2674 12.7137
Se 4.1904 3.2833 15.8437
Se 4.2194 3.2501 7.2216
Se 4.4017 7.7413 4.2254
Se 4.9488 1.6092 12.7055
Se 5.1310 6.1003 9.7093
Se 5.1601 6.0671 1.0872
Se 5.3106 1.0830 4.2172
Se 5.7582 4.0398 12.6826
Se 6.0671 8.8656 7.3782
Se 6.1003 8.8946 15.6870
Se 6.2844 4.4017 4.2401
Se 7.0128 2.3376 1.1221
Se 7.0128 2.3376 9.5876
Se 7.0128 7.0128 12.6982
Se 7.7413 0.2735 4.2401
Se 7.9253 5.1310 15.6870
Se 7.9585 5.1601 7.3782
Se 8.2674 0.6354 12.6826
Se 8.7150 3.5922 4.2172
Se 8.8656 7.9585 1.0872
Se 8.8946 7.9253 9.7093
Se 9.0769 3.0661 12.7055

---

[18]
8
Lattice="-3.2535 3.2535 7.1131 3.2535 -3.2535 7.1131 3.2535 3.2535 -7.1131" Properties=species:S:1:pos:R:3 comment="La2SiSe, relaxed, DFT GGA-PBEsol" raw_formation_energy_ev_per_atom=-0.7593 n_ef_per_ev_cell=0.07 pbc="T T T"
La 4.8802 1.5720 -1.7783
La 1.5720 1.6267 1.7783
La -1.6267 1.6814 5.3349
La 1.6814 1.6267 8.8914
Si 0.0000 0.0000 0.0000
Si 0.0000 3.2535 3.5566
Se 3.2535 0.0000 3.5566
Se 0.0000 0.0000 7.1131

---

[19]
4
Lattice="-2.0191 2.0872 5.2711 2.0191 -2.0872 5.2711 2.0191 2.0872 -5.2711" Properties=species:S:1:pos:R:3 comment="LaSiSe2, relaxed, DFT GGA-PBEsol" raw_formation_energy_ev_per_atom=-0.8768 n_ef_per_ev_cell=2.17 pbc="T T T"
La 0.0000 0.0000 0.0000
Si 0.0000 2.0872 2.6136
Se 2.0191 0.0000 2.6496
Se 0.0000 0.0000 5.3214

---

[20]
4
Lattice="3.9878 0.0000 0.0000 0.0000 3.9878 0.0000 0.0000 0.0000 6.0597" Properties=species:S:1:pos:R:3 comment="LaSiSe2, relaxed, DFT GGA-PBEsol" raw_formation_energy_ev_per_atom=-0.9005 n_ef_per_ev_cell=1.68 pbc="T T T"
La 0.0000 0.0000 0.0000
Si 1.9939 1.9939 3.4541
Se 0.0000 0.0000 3.1606
Se 1.9939 1.9939 0.8961

---

Quick rundown of E, same order as above: -5.1049, -4.6626, -4.7791, -5.0444, -6.8588, -6.0140, -6.8491, -7.7687, -6.3783, -6.1211, -6.0953, -6.1389, -6.0384, -6.5411, -6.6273, -6.3984, -6.2051, -5.8317, -5.5751, -5.5988 eV/atom
Quick rundown of total magnetization, same order as above: 0.00, 0.00, 0.00, 0.01, 0.00, 1.92, 0.00, 1.72, 0.00, 0.00, 0.00, 0.00, 0.00, 0.00, 0.00, 0.00, 0.00, 0.00, 0.00, 0.00 μB per formula unit